Fe2CO: single point on PBEsol structure, SCAN.

Properties
The raw total energy is -12.920 eV per atom. For the uncorrected formation energy, the calculation gives 0.2276 eV per atom. Its space group is Fm-3m (225). Its magnetic moment is 5.25 Bohr magnetons per cell.

Lattice parameters (Å, degrees): 3.573 3.573 3.573 60.00 60.00 60.00
Last column: magnetic moment on the atom in μB.
Element x y z (fractional)
C 0.000 0.000 0.000  -0.33
Fe 0.250 0.250 0.250  2.84
Fe 0.750 0.750 0.750  2.84
O 0.500 0.500 0.500  0.08